i) First-principles (GGA-PBEsol) data for a geometry-optimized W2Br structure, as listed in Alexandria.

a b c (Å): 4.619 4.619 5.340
angles (deg): 90.00 90.00 120.00
Atoms (fractional coordinates):
W 0.000 0.000 0.000
W 0.000 0.000 0.500
W 0.333 0.667 0.250
W 0.667 0.333 0.750
Br 0.333 0.667 0.750
Br 0.667 0.333 0.250

Space group: P6_3/mmc, No. 194
Magnetic moment in μB/cell: 0.00
Density in Mg/m³: 15.1

---

ii) First-principles (GGA-PBEsol) data for a geometry-optimized W2Br structure, as listed in Alexandria.

a b c (Å): 2.924 2.924 6.631
angles (deg): 90.00 90.00 120.00
Atoms (fractional coordinates):
W 0.333 0.667 0.332
W 0.667 0.333 0.668
Br 0.000 0.000 0.000

Space group: P-3m1, No. 164
Magnetic moment in μB/cell: 0.00
Density in Mg/m³: 15.1

---

Least stable structure: i)

---

i) First-principles (GGA-PBEsol) data for a geometry-optimized YWBr2 structure, as listed in Alexandria.

a b c (Å): 13.329 3.353 4.786
angles (deg): 90.00 91.14 90.00
Atoms (fractional coordinates):
Y 0.000 0.000 0.000
Y 0.500 0.500 0.000
W 0.000 0.500 0.500
W 0.500 0.000 0.500
Br 0.160 0.500 0.239
Br 0.340 0.000 0.761
Br 0.660 0.000 0.239
Br 0.840 0.500 0.761

Space group: C2/m, No. 12
Magnetic moment in μB/cell: 0.00
Density in Mg/m³: 6.7

---

ii) First-principles (GGA-PBEsol) data for a geometry-optimized YWBr2 structure, as listed in Alexandria.

a b c (Å): 10.879 3.263 5.035
angles (deg): 90.00 111.29 90.00
Atoms (fractional coordinates):
Y 0.000 0.000 0.000
Y 0.500 0.500 0.000
W 0.236 0.000 0.744
W 0.736 0.500 0.744
Br 0.038 0.500 0.517
Br 0.252 0.500 0.172
Br 0.538 0.000 0.517
Br 0.752 0.000 0.172

Space group: Cm, No. 8
Magnetic moment in μB/cell: 0.00
Density in Mg/m³: 8.6

---

iii) First-principles (GGA-PBEsol) data for a geometry-optimized YWBr2 structure, as listed in Alexandria.

a b c (Å): 6.842 6.842 6.842
angles (deg): 90.00 90.00 90.00
Atoms (fractional coordinates):
Y 0.000 0.000 0.000
Y 0.000 0.500 0.500
Y 0.500 0.000 0.500
Y 0.500 0.500 0.000
W 0.000 0.000 0.500
W 0.000 0.500 0.000
W 0.500 0.000 0.000
W 0.500 0.500 0.500
Br 0.250 0.250 0.250
Br 0.250 0.250 0.750
Br 0.250 0.750 0.250
Br 0.250 0.750 0.750
Br 0.750 0.250 0.250
Br 0.750 0.250 0.750
Br 0.750 0.750 0.250
Br 0.750 0.750 0.750

Space group: Fm-3m, No. 225
Magnetic moment in μB/cell: 10.07
Density in Mg/m³: 9.0

---

Least stable structure: iii)

---

i) First-principles (GGA-PBEsol) data for a geometry-optimized ZnW2Br structure, as listed in Alexandria.

a b c (Å): 2.901 4.940 9.148
angles (deg): 90.00 90.00 90.00
Atoms (fractional coordinates):
Zn 0.000 0.000 0.000
Zn 0.500 0.500 0.000
W 0.000 0.500 0.245
W 0.000 0.500 0.755
W 0.500 0.000 0.245
W 0.500 0.000 0.755
Br 0.000 0.000 0.500
Br 0.500 0.500 0.500

Space group: Cmmm, No. 65
Magnetic moment in μB/cell: 0.00
Density in Mg/m³: 13.0

---

ii) First-principles (GGA-PBEsol) data for a geometry-optimized ZnW2Br structure, as listed in Alexandria.

a b c (Å): 2.893 2.893 26.150
angles (deg): 90.00 90.00 120.00
Atoms (fractional coordinates):
Zn 0.000 0.000 0.000
Zn 0.333 0.667 0.667
Zn 0.667 0.333 0.333
W 0.000 0.000 0.250
W 0.000 0.000 0.750
W 0.333 0.667 0.417
W 0.333 0.667 0.916
W 0.667 0.333 0.084
W 0.667 0.333 0.583
Br 0.000 0.000 0.500
Br 0.333 0.667 0.167
Br 0.667 0.333 0.833

Space group: R-3m, No. 166
Magnetic moment in μB/cell: 0.00
Density in Mg/m³: 13.5

---

iii) First-principles (GGA-PBEsol) data for a geometry-optimized ZnW2Br structure, as listed in Alexandria.

a b c (Å): 4.320 4.320 6.936
angles (deg): 90.00 90.00 90.00
Atoms (fractional coordinates):
Zn 0.000 0.000 0.000
Zn 0.500 0.500 0.500
W 0.000 0.000 0.500
W 0.000 0.500 0.250
W 0.500 0.000 0.750
W 0.500 0.500 0.000
Br 0.000 0.500 0.750
Br 0.500 0.000 0.250

Space group: I-4m2, No. 119
Magnetic moment in μB/cell: 0.00
Density in Mg/m³: 13.2

---

Least stable structure: iii)

---

i) First-principles (GGA-PBEsol) data for a geometry-optimized Zr2WBr structure, as listed in Alexandria.

a b c (Å): 7.887 3.197 8.462
angles (deg): 90.00 116.23 90.00
Atoms (fractional coordinates):
Zr 0.130 0.000 0.313
Zr 0.370 0.500 0.687
Zr 0.630 0.500 0.313
Zr 0.870 0.000 0.687
W 0.000 0.500 0.500
W 0.500 0.000 0.500
Br 0.000 0.500 0.000
Br 0.500 0.000 0.000

Space group: C2/m, No. 12
Magnetic moment in μB/cell: 0.00
Density in Mg/m³: 7.7

---

ii) First-principles (GGA-PBEsol) data for a geometry-optimized Zr2WBr structure, as listed in Alexandria.

a b c (Å): 10.258 3.228 4.685
angles (deg): 90.00 95.40 90.00
Atoms (fractional coordinates):
Zr 0.000 0.000 0.000
Zr 0.217 0.500 0.555
Zr 0.500 0.500 0.000
Zr 0.717 0.000 0.555
W 0.258 0.000 0.048
W 0.758 0.500 0.048
Br 0.447 0.000 0.514
Br 0.947 0.500 0.514

Space group: Cm, No. 8
Magnetic moment in μB/cell: 0.00
Density in Mg/m³: 9.6

---

Least stable structure: ii)

---

i) First-principles (GGA-PBEsol) data for a geometry-optimized ZrZn2Br structure, as listed in Alexandria.

a b c (Å): 3.499 3.499 6.246
angles (deg): 90.00 90.00 90.00
Atoms (fractional coordinates):
Zr 0.000 0.000 0.000
Zn 0.500 0.500 0.227
Zn 0.500 0.500 0.773
Br 0.000 0.000 0.500

Space group: P4/mmm, No. 123
Magnetic moment in μB/cell: 0.00
Density in Mg/m³: 6.6

---

ii) First-principles (GGA-PBEsol) data for a geometry-optimized ZrZn2Br structure, as listed in Alexandria.

a b c (Å): 3.272 4.960 9.389
angles (deg): 90.00 90.00 90.00
Atoms (fractional coordinates):
Zr 0.000 0.000 0.000
Zr 0.500 0.500 0.500
Zn 0.000 0.000 0.515
Zn 0.000 0.500 0.247
Zn 0.500 0.000 0.747
Zn 0.500 0.500 0.015
Br 0.000 0.500 0.732
Br 0.500 0.000 0.232

Space group: Imm2, No. 44
Magnetic moment in μB/cell: 0.00
Density in Mg/m³: 6.6

---

iii) First-principles (GGA-PBEsol) data for a geometry-optimized ZrZn2Br structure, as listed in Alexandria.

a b c (Å): 3.163 3.163 8.037
angles (deg): 90.00 90.00 90.00
Atoms (fractional coordinates):
Zr 0.000 0.000 0.000
Zn 0.000 0.000 0.611
Zn 0.500 0.500 0.766
Br 0.500 0.500 0.216

Space group: P4mm, No. 99
Magnetic moment in μB/cell: 0.00
Density in Mg/m³: 6.2

---

Least stable structure: i)

---

i) First-principles (GGA-PBEsol) data for a geometry-optimized ZrBr structure, as listed in Alexandria.

a b c (Å): 3.255 3.255 8.887
angles (deg): 90.00 90.00 90.00
Atoms (fractional coordinates):
Zr 0.250 0.250 0.133
Zr 0.750 0.750 0.867
Br 0.250 0.250 0.678
Br 0.750 0.750 0.322

Space group: P4/nmm, No. 129
Magnetic moment in μB/cell: 0.00
Density in Mg/m³: 6.0

---

ii) First-principles (GGA-PBEsol) data for a geometry-optimized ZrBr structure, as listed in Alexandria.

a b c (Å): 4.511 4.511 16.011
angles (deg): 90.00 90.00 120.00
Atoms (fractional coordinates):
Zr 0.000 0.000 0.092
Zr 0.000 0.000 0.908
Zr 0.333 0.667 0.575
Zr 0.333 0.667 0.759
Zr 0.667 0.333 0.241
Zr 0.667 0.333 0.425
Br 0.000 0.000 0.393
Br 0.000 0.000 0.607
Br 0.333 0.667 0.060
Br 0.333 0.667 0.274
Br 0.667 0.333 0.726
Br 0.667 0.333 0.940

Space group: R-3m, No. 166
Magnetic moment in μB/cell: 0.00
Density in Mg/m³: 6.0

---

Least stable structure: ii)

---

i) First-principles (GGA-PBEsol) data for a geometry-optimized ZrBr structure, as listed in Alexandria.

a b c (Å): 6.017 3.473 9.720
angles (deg): 90.00 101.98 90.00
Atoms (fractional coordinates):
Zr 0.208 0.000 0.123
Zr 0.292 0.500 0.877
Zr 0.708 0.500 0.123
Zr 0.792 0.000 0.877
Br 0.107 0.500 0.320
Br 0.393 0.000 0.680
Br 0.607 0.000 0.320
Br 0.893 0.500 0.680

Space group: C2/m, No. 12
Magnetic moment in μB/cell: 0.00
Density in Mg/m³: 5.7

---

ii) First-principles (GGA-PBEsol) data for a geometry-optimized ZrBr structure, as listed in Alexandria.

a b c (Å): 3.394 3.394 9.731
angles (deg): 90.00 90.00 120.00
Atoms (fractional coordinates):
Zr 0.333 0.667 0.127
Zr 0.667 0.333 0.873
Br 0.333 0.667 0.676
Br 0.667 0.333 0.324

Space group: P-3m1, No. 164
Magnetic moment in μB/cell: 0.00
Density in Mg/m³: 5.9

---

Least stable structure: ii)

---

i) First-principles (GGA-PBEsol) data for a geometry-optimized ZrBr structure, as listed in Alexandria.

a b c (Å): 4.035 4.035 6.468
angles (deg): 90.00 90.00 90.00
Atoms (fractional coordinates):
Zr 0.250 0.750 0.000
Zr 0.750 0.250 0.000
Br 0.250 0.250 0.301
Br 0.750 0.750 0.699

Space group: P4/nmm, No. 129
Magnetic moment in μB/cell: 0.00
Density in Mg/m³: 5.4

---

ii) First-principles (GGA-PBEsol) data for a geometry-optimized ZrBr structure, as listed in Alexandria.

a b c (Å): 3.251 4.756 10.813
angles (deg): 90.00 90.00 90.00
Atoms (fractional coordinates):
Zr 0.000 0.250 0.110
Zr 0.000 0.750 0.890
Zr 0.500 0.250 0.390
Zr 0.500 0.750 0.610
Br 0.000 0.250 0.605
Br 0.000 0.750 0.395
Br 0.500 0.250 0.895
Br 0.500 0.750 0.105

Space group: Imma, No. 74
Magnetic moment in μB/cell: 0.00
Density in Mg/m³: 6.8

---

Least stable structure: ii)

---

i) First-principles (GGA-PBEsol) data for a geometry-optimized ZrBr structure, as listed in Alexandria.

a b c (Å): 3.827 3.827 11.363
angles (deg): 90.00 90.00 90.00
Atoms (fractional coordinates):
Zr 0.000 0.250 0.375
Zr 0.000 0.750 0.625
Zr 0.500 0.250 0.125
Zr 0.500 0.750 0.875
Br 0.000 0.250 0.875
Br 0.000 0.750 0.125
Br 0.500 0.250 0.625
Br 0.500 0.750 0.375

Space group: I4_1/amd, No. 141
Magnetic moment in μB/cell: 0.00
Density in Mg/m³: 6.8

---

ii) First-principles (GGA-PBEsol) data for a geometry-optimized ZrBr structure, as listed in Alexandria.

a b c (Å): 6.013 3.476 9.983
angles (deg): 90.00 106.16 90.00
Atoms (fractional coordinates):
Zr 0.110 0.000 0.378
Zr 0.390 0.500 0.622
Zr 0.610 0.500 0.378
Zr 0.890 0.000 0.622
Br 0.146 0.500 0.817
Br 0.354 0.000 0.183
Br 0.646 0.000 0.817
Br 0.854 0.500 0.183

Space group: C2/m, No. 12
Magnetic moment in μB/cell: 0.00
Density in Mg/m³: 5.7

---

Least stable structure: i)

---

i) First-principles (GGA-PBEsol) data for a geometry-optimized CaC structure, as listed in Alexandria.

a b c (Å): 2.999 2.999 14.428
angles (deg): 90.00 90.00 120.00
Atoms (fractional coordinates):
Ca 0.333 0.667 0.120
Ca 0.333 0.667 0.380
Ca 0.667 0.333 0.620
Ca 0.667 0.333 0.880
C 0.000 0.000 0.250
C 0.000 0.000 0.750
C 0.333 0.667 0.750
C 0.667 0.333 0.250

Space group: P6_3/mmc, No. 194
Magnetic moment in μB/cell: 0.00
Density in Mg/m³: 3.1

---

ii) First-principles (GGA-PBEsol) data for a geometry-optimized CaC structure, as listed in Alexandria.

a b c (Å): 4.288 4.288 12.990
angles (deg): 90.00 90.00 120.00
Atoms (fractional coordinates):
Ca 0.000 0.000 0.247
Ca 0.000 0.000 0.753
Ca 0.333 0.667 0.420
Ca 0.333 0.667 0.914
Ca 0.667 0.333 0.086
Ca 0.667 0.333 0.580
C 0.000 0.000 0.051
C 0.000 0.000 0.949
C 0.333 0.667 0.615
C 0.333 0.667 0.718
C 0.667 0.333 0.282
C 0.667 0.333 0.385

Space group: R-3m, No. 166
Magnetic moment in μB/cell: 0.00
Density in Mg/m³: 2.5

---

Least stable structure: i)

---

i) First-principles (GGA-PBEsol) data for a geometry-optimized CaC structure, as listed in Alexandria.

a b c (Å): 3.927 8.179 6.493
angles (deg): 90.00 90.00 90.00
Atoms (fractional coordinates):
Ca 0.000 0.000 0.000
Ca 0.000 0.500 0.500
Ca 0.500 0.206 0.374
Ca 0.500 0.294 0.874
Ca 0.500 0.706 0.874
Ca 0.500 0.794 0.374
C 0.000 0.000 0.617
C 0.000 0.164 0.638
C 0.000 0.336 0.138
C 0.000 0.500 0.117
C 0.000 0.664 0.138
C 0.000 0.836 0.638

Space group: Amm2, No. 38
Magnetic moment in μB/cell: 0.00
Density in Mg/m³: 2.5

---

ii) First-principles (GGA-PBEsol) data for a geometry-optimized CaC structure, as listed in Alexandria.

a b c (Å): 6.539 6.539 3.322
angles (deg): 90.00 90.00 120.00
Atoms (fractional coordinates):
Ca 0.000 0.500 0.000
Ca 0.500 0.000 0.000
Ca 0.500 0.500 0.000
C 0.000 0.000 0.000
C 0.333 0.667 0.500
C 0.667 0.333 0.500

Space group: P6/mmm, No. 191
Magnetic moment in μB/cell: 4.86
Density in Mg/m³: 2.1

---

iii) First-principles (GGA-PBEsol) data for a geometry-optimized CaC structure, as listed in Alexandria.

a b c (Å): 3.079 3.079 3.079
angles (deg): 90.00 90.00 90.00
Atoms (fractional coordinates):
Ca 0.000 0.000 0.000
C 0.500 0.500 0.500

Space group: Pm-3m, No. 221
Magnetic moment in μB/cell: 0.00
Density in Mg/m³: 3.0

---

Least stable structure: ii)

---

i) First-principles (GGA-PBEsol) data for a geometry-optimized CaC3 structure, as listed in Alexandria.

a b c (Å): 4.610 9.472 5.054
angles (deg): 90.00 90.00 90.00
Atoms (fractional coordinates):
Ca 0.000 0.143 0.250
Ca 0.000 0.857 0.750
Ca 0.500 0.357 0.750
Ca 0.500 0.643 0.250
C 0.000 0.472 0.750
C 0.000 0.528 0.250
C 0.152 0.395 0.250
C 0.152 0.605 0.750
C 0.348 0.105 0.750
C 0.348 0.895 0.250
C 0.500 0.028 0.250
C 0.500 0.972 0.750
C 0.652 0.105 0.750
C 0.652 0.895 0.250
C 0.848 0.395 0.250
C 0.848 0.605 0.750

Space group: Cmcm, No. 63
Magnetic moment in μB/cell: 0.00
Density in Mg/m³: 2.3

---

ii) First-principles (GGA-PBEsol) data for a geometry-optimized CaC3 structure, as listed in Alexandria.

a b c (Å): 3.455 3.455 7.030
angles (deg): 90.00 90.00 90.00
Atoms (fractional coordinates):
Ca 0.000 0.000 0.000
Ca 0.500 0.500 0.500
C 0.000 0.000 0.500
C 0.000 0.500 0.250
C 0.000 0.500 0.750
C 0.500 0.000 0.250
C 0.500 0.000 0.750
C 0.500 0.500 0.000

Space group: I4/mmm, No. 139
Magnetic moment in μB/cell: 0.00
Density in Mg/m³: 3.0

---

Least stable structure: ii)

---

i) First-principles (GGA-PBEsol) data for a geometry-optimized CaC3 structure, as listed in Alexandria.

a b c (Å): 2.763 7.159 4.021
angles (deg): 90.00 90.00 90.00
Atoms (fractional coordinates):
Ca 0.000 0.000 0.000
Ca 0.500 0.500 0.000
C 0.000 0.307 0.500
C 0.000 0.500 0.500
C 0.000 0.693 0.500
C 0.500 0.000 0.500
C 0.500 0.193 0.500
C 0.500 0.807 0.500

Space group: Cmmm, No. 65
Magnetic moment in μB/cell: 0.00
Density in Mg/m³: 3.2

---

ii) First-principles (GGA-PBEsol) data for a geometry-optimized CaC3 structure, as listed in Alexandria.

a b c (Å): 3.453 3.453 3.453
angles (deg): 90.00 90.00 90.00
Atoms (fractional coordinates):
Ca 0.000 0.000 0.000
C 0.000 0.500 0.500
C 0.500 0.000 0.500
C 0.500 0.500 0.000

Space group: Pm-3m, No. 221
Magnetic moment in μB/cell: 0.00
Density in Mg/m³: 3.1

---

Least stable structure: ii)